Below is TiZnPdN2 after structural relaxation, with properties calculated at the PBE-GGA level.

Properties
raw formation energy = 0.571 eV/atom
total energy = -5.63 eV per atom
symmetry = No. 123

The structure in POSCAR format:
```
TiZnPdN2
1.0
3.811 0.000 0.000
0.000 3.811 0.000
0.000 0.000 5.506
Ti Zn Pd N
1 1 1 2
Cartesian
0.000 0.000 0.000
0.000 0.000 2.753
1.905 1.905 2.753
0.000 1.905 0.000
1.905 0.000 0.000
```